Entry 1:
Density functional theory data (PBE-GGA) for an optimized crystal structure of Rb3YNb2O8. Values from VASP.

Output
As for the raw formation energy: -2.56 eV per atom. For the total energy, the calculation gives -7.50 eV/atom.

```
&SYSTEM
  ibrav = 0, nat = 14, ntyp = 4
/
ATOMIC_SPECIES
Rb 85.47 Rb.upf
Y 88.91 Y.upf
Nb 92.91 Nb.upf
O 16.00 O.upf
CELL_PARAMETERS angstrom
6.2859 0.0000 0.0000
-3.1429 5.4437 0.0000
0.0000 0.0000 8.0600
ATOMIC_POSITIONS crystal
Rb 0.0000 0.0000 0.0000
Rb 0.3333 0.6667 0.6908
Rb 0.6667 0.3333 0.3092
Y 0.0000 0.0000 0.5000
Nb 0.3333 0.6667 0.2500
Nb 0.6667 0.3333 0.7500
O 0.1696 0.3391 0.3318
O 0.1696 0.8304 0.3318
O 0.3333 0.6667 0.0242
O 0.3391 0.1696 0.6682
O 0.6609 0.8304 0.3318
O 0.6667 0.3333 0.9758
O 0.8304 0.1696 0.6682
O 0.8304 0.6609 0.6682
```

---

Entry 2:
Density functional theory data (PBE-GGA) for an optimized crystal structure of RbNbZnO4. Values from VASP.

Output
As for the raw formation energy: -2.04 eV per atom. For the total energy, the calculation gives -6.64 eV/atom.

```
&SYSTEM
  ibrav = 0, nat = 14, ntyp = 4
/
ATOMIC_SPECIES
Rb 85.47 Rb.upf
Nb 92.91 Nb.upf
Zn 65.41 Zn.upf
O 16.00 O.upf
CELL_PARAMETERS angstrom
5.6150 0.0000 0.0000
0.0000 5.7784 0.0000
-0.7426 0.0000 9.6723
ATOMIC_POSITIONS crystal
Rb 0.1595 0.2500 0.3327
Rb 0.8405 0.7500 0.6673
Nb 0.2833 0.2500 0.7980
Nb 0.7167 0.7500 0.2020
Zn 0.1389 0.7500 0.0253
Zn 0.8611 0.2500 0.9747
O 0.1335 0.5012 0.8841
O 0.1335 0.9988 0.8841
O 0.1885 0.2500 0.6147
O 0.3796 0.7500 0.1782
O 0.6204 0.2500 0.8218
O 0.8115 0.7500 0.3853
O 0.8665 0.0012 0.1159
O 0.8665 0.4988 0.1159
```

---

Entry 3:
Density functional theory data (PBE-GGA) for an optimized crystal structure of Rb3ZrNb2O9. Values from VASP.

Output
As for the raw formation energy: -2.36 eV per atom. For the total energy, the calculation gives -7.44 eV/atom.

```
&SYSTEM
  ibrav = 0, nat = 15, ntyp = 4
/
ATOMIC_SPECIES
Rb 85.47 Rb.upf
Zr 91.22 Zr.upf
Nb 92.91 Nb.upf
O 16.00 O.upf
CELL_PARAMETERS angstrom
5.8804 0.0000 0.0000
-2.9402 5.0926 0.0000
0.0000 0.0000 7.2075
ATOMIC_POSITIONS crystal
Rb 0.0000 0.0000 0.0000
Rb 0.3333 0.6667 0.6689
Rb 0.6667 0.3333 0.3311
Zr 0.0000 0.0000 0.5000
Nb 0.3333 0.6667 0.1707
Nb 0.6667 0.3333 0.8293
O 0.0000 0.5000 0.0000
O 0.1715 0.3429 0.3264
O 0.1715 0.8285 0.3264
O 0.3429 0.1715 0.6736
O 0.5000 0.0000 0.0000
O 0.5000 0.5000 0.0000
O 0.6571 0.8285 0.3264
O 0.8285 0.1715 0.6736
O 0.8285 0.6571 0.6736
```

---

Entry 4:
Density functional theory data (PBE-GGA) for an optimized crystal structure of RbZr2NbO8. Values from VASP.

Output
As for the raw formation energy: -2.44 eV per atom. For the total energy, the calculation gives -8.09 eV/atom.

```
&SYSTEM
  ibrav = 0, nat = 12, ntyp = 4
/
ATOMIC_SPECIES
Rb 85.47 Rb.upf
Zr 91.22 Zr.upf
Nb 92.91 Nb.upf
O 16.00 O.upf
CELL_PARAMETERS angstrom
3.4646 -3.3827 0.0000
3.4646 3.3827 0.0000
-0.6429 0.0000 7.5101
ATOMIC_POSITIONS crystal
Rb 0.0000 0.0000 0.0000
Zr 0.4761 0.4761 0.7103
Zr 0.5239 0.5239 0.2897
Nb 0.0000 0.0000 0.5000
O 0.1673 0.7590 0.3086
O 0.2410 0.8327 0.6914
O 0.2982 0.2982 0.4818
O 0.3917 0.3917 0.9824
O 0.6083 0.6083 0.0176
O 0.7018 0.7018 0.5182
O 0.7590 0.1673 0.3086
O 0.8327 0.2410 0.6914
```

---

Entry 5:
Density functional theory data (PBE-GGA) for an optimized crystal structure of RbZrNb2O8. Values from VASP.

Output
As for the raw formation energy: -2.45 eV per atom. For the total energy, the calculation gives -8.23 eV/atom.

```
&SYSTEM
  ibrav = 0, nat = 12, ntyp = 4
/
ATOMIC_SPECIES
Rb 85.47 Rb.upf
Zr 91.22 Zr.upf
Nb 92.91 Nb.upf
O 16.00 O.upf
CELL_PARAMETERS angstrom
6.0316 0.0000 0.0000
-3.0158 5.2236 0.0000
0.0000 0.0000 7.8062
ATOMIC_POSITIONS crystal
Rb 0.0000 0.0000 0.0000
Zr 0.0000 0.0000 0.5000
Nb 0.3333 0.6667 0.7365
Nb 0.6667 0.3333 0.2635
O 0.1602 0.3229 0.6616
O 0.1627 0.8398 0.6616
O 0.3229 0.1627 0.3384
O 0.3333 0.6667 0.9708
O 0.6667 0.3333 0.0292
O 0.6771 0.8373 0.6616
O 0.8373 0.1602 0.3384
O 0.8398 0.6771 0.3384
```

---

Entry 6:
Density functional theory data (PBE-GGA) for an optimized crystal structure of Rb2ZrNb3O12. Values from VASP.

Output
As for the raw formation energy: -2.22 eV per atom. For the total energy, the calculation gives -7.78 eV/atom.

```
&SYSTEM
  ibrav = 0, nat = 18, ntyp = 4
/
ATOMIC_SPECIES
Rb 85.47 Rb.upf
Zr 91.22 Zr.upf
Nb 92.91 Nb.upf
O 16.00 O.upf
CELL_PARAMETERS angstrom
3.8075 2.1983 6.2299
-3.8075 2.1983 6.2299
0.0000 -4.3966 6.2299
ATOMIC_POSITIONS crystal
Rb 0.1257 0.1257 0.1257
Rb 0.8743 0.8743 0.8743
Zr 0.5000 0.5000 0.5000
Nb 0.0000 0.5000 0.5000
Nb 0.5000 0.0000 0.5000
Nb 0.5000 0.5000 0.0000
O 0.1719 0.5695 0.5695
O 0.1914 0.1914 0.5651
O 0.1914 0.5651 0.1914
O 0.4305 0.4305 0.8281
O 0.4305 0.8281 0.4305
O 0.4349 0.8086 0.8086
O 0.5651 0.1914 0.1914
O 0.5695 0.1719 0.5695
O 0.5695 0.5695 0.1719
O 0.8086 0.4349 0.8086
O 0.8086 0.8086 0.4349
O 0.8281 0.4305 0.4305
```

---

Entry 7:
Density functional theory data (PBE-GGA) for an optimized crystal structure of NbRe2O8. Values from VASP.

Output
As for the raw formation energy: -1.57 eV per atom. For the total energy, the calculation gives -8.35 eV/atom.

```
&SYSTEM
  ibrav = 0, nat = 11, ntyp = 3
/
ATOMIC_SPECIES
Nb 92.91 Nb.upf
Re 186.21 Re.upf
O 16.00 O.upf
CELL_PARAMETERS angstrom
4.5950 -4.1598 0.0000
4.5950 4.1598 0.0000
-0.3467 0.0000 5.1461
ATOMIC_POSITIONS crystal
Nb 0.0000 0.0000 0.0000
Re 0.2130 0.2130 0.6436
Re 0.7870 0.7870 0.3564
O 0.0535 0.7155 0.2103
O 0.1595 0.1595 0.2968
O 0.2845 0.9465 0.7897
O 0.3976 0.3976 0.7201
O 0.6024 0.6024 0.2799
O 0.7155 0.0535 0.2103
O 0.8405 0.8405 0.7032
O 0.9465 0.2845 0.7897
```

---

Entry 8:
Density functional theory data (PBE-GGA) for an optimized crystal structure of NbRe2O2. Values from VASP.

Output
As for the raw formation energy: 0.30 eV per atom. For the distance to the lowest polymorph of the same formula, the calculation gives 1153.2 meV per atom. For the total energy, the calculation gives -8.68 eV/atom.

```
&SYSTEM
  ibrav = 0, nat = 5, ntyp = 3
/
ATOMIC_SPECIES
Nb 92.91 Nb.upf
Re 186.21 Re.upf
O 16.00 O.upf
CELL_PARAMETERS angstrom
-1.9168 1.9168 4.4768
1.9168 -1.9168 4.4768
1.9168 1.9168 -4.4768
ATOMIC_POSITIONS crystal
Nb 0.0000 0.0000 0.0000
Re 0.2500 0.7500 0.5000
Re 0.7500 0.2500 0.5000
O 0.3672 0.3672 0.0000
O 0.6328 0.6328 0.0000
```

---

Entry 9:
Density functional theory data (PBE-GGA) for an optimized crystal structure of Nb3ReO. Values from VASP.

Output
As for the raw formation energy: 1.60 eV per atom. For the distance to the lowest polymorph of the same formula, the calculation gives 2115.7 meV per atom. For the total energy, the calculation gives -7.93 eV/atom.

```
&SYSTEM
  ibrav = 0, nat = 5, ntyp = 3
/
ATOMIC_SPECIES
Nb 92.91 Nb.upf
Re 186.21 Re.upf
O 16.00 O.upf
CELL_PARAMETERS angstrom
4.8616 0.0000 0.0000
0.0000 4.8616 0.0000
0.0000 0.0000 4.8616
ATOMIC_POSITIONS crystal
Nb 0.0000 0.0000 0.5000
Nb 0.0000 0.5000 0.0000
Nb 0.5000 0.0000 0.0000
Re 0.0000 0.0000 0.0000
O 0.5000 0.5000 0.5000
```

---

Entry 10:
Density functional theory data (PBE-GGA) for an optimized crystal structure of NbReO3. Values from VASP.

Output
As for the raw formation energy: -0.55 eV per atom. For the total energy, the calculation gives -8.02 eV/atom.

```
&SYSTEM
  ibrav = 0, nat = 5, ntyp = 3
/
ATOMIC_SPECIES
Nb 92.91 Nb.upf
Re 186.21 Re.upf
O 16.00 O.upf
CELL_PARAMETERS angstrom
3.9095 0.0000 0.0000
0.0000 3.9095 0.0000
0.0000 0.0000 3.9095
ATOMIC_POSITIONS crystal
Nb 0.0000 0.0000 0.0000
Re 0.5000 0.5000 0.5000
O 0.0000 0.5000 0.5000
O 0.5000 0.0000 0.5000
O 0.5000 0.5000 0.0000
```

---

Entry 11:
Density functional theory data (PBE-GGA) for an optimized crystal structure of NbRe2O2. Values from VASP.

Output
As for the raw formation energy: -0.86 eV per atom. For the distance to the lowest polymorph of the same formula, the calculation gives 0.0 meV per atom. For the total energy, the calculation gives -9.83 eV/atom.

```
&SYSTEM
  ibrav = 0, nat = 10, ntyp = 3
/
ATOMIC_SPECIES
Nb 92.91 Nb.upf
Re 186.21 Re.upf
O 16.00 O.upf
CELL_PARAMETERS angstrom
5.6586 0.0000 0.0000
0.0000 5.6586 0.0000
0.0000 0.0000 4.0921
ATOMIC_POSITIONS crystal
Nb 0.0000 0.0000 0.0000
Nb 0.5000 0.5000 0.0000
Re 0.1493 0.3507 0.5000
Re 0.3507 0.8507 0.5000
Re 0.6493 0.1493 0.5000
Re 0.8507 0.6493 0.5000
O 0.1818 0.3182 0.0000
O 0.3182 0.8182 0.0000
O 0.6818 0.1818 0.0000
O 0.8182 0.6818 0.0000
```